1.
Here is BaSb2TeH after structural relaxation from Alexandria. Energies are from GGA-PBE.

```
BaSb2TeH
1.0
4.732 0.000 0.000
0.000 4.732 0.000
0.000 0.000 6.117
Ba Sb Te H
1 2 1 1
direct
0.000 0.000 0.000 Ba
0.000 0.500 0.500 Sb
0.500 0.000 0.500 Sb
0.500 0.500 0.000 Te
0.500 0.500 0.500 H
```

Results
space group: P4/mmm, No. 123
energy relative to the lowest polymorph listed for this composition: 0 meV per atom

2.
Here is Ba2TlSbH after structural relaxation from Alexandria. Energies are from GGA-PBE.

```
Ba2TlSbH
1.0
5.607 0.000 0.000
0.000 5.607 0.000
0.000 0.000 4.894
Ba Tl Sb H
2 1 1 1
direct
0.000 0.500 0.000 Ba
0.500 0.000 0.000 Ba
0.000 0.000 0.500 Tl
0.500 0.500 0.500 Sb
0.000 0.000 0.000 H
```

Results
space group: P4/mmm, No. 123
DFT total energy: -3.267 eV/atom

3.
Here is BaZnSbH2 after structural relaxation from Alexandria. Energies are from GGA-PBE.

```
BaZnSbH2
1.0
2.361 -5.962 0.000
2.361 5.962 0.000
0.000 0.000 6.808
Ba Zn Sb H
2 2 2 4
direct
0.221 0.779 0.750 Ba
0.779 0.221 0.250 Ba
0.500 0.500 0.000 Zn
0.500 0.500 0.500 Zn
0.058 0.942 0.250 Sb
0.942 0.058 0.750 Sb
0.361 0.639 0.060 H
0.361 0.639 0.440 H
0.639 0.361 0.560 H
0.639 0.361 0.940 H
```

Results
space group: Cmcm, No. 63
DFT total energy: -3.121 eV/atom